# 1
Below is BaSr4Ac after structural relaxation, with properties calculated at the PBE level.

Computed properties:
- Crystal system: cubic
- Spin magnetization: 1.6 μB per formula unit
- DFT total energy: -46.5 eV per cell
- Energy of formation: 0.188 eV per atom

Geometry as CIF:
```
data_BaSr4Ac
_chemical_formula_sum 'Ba4 Sr16 Ac4'
_symmetry_space_group_name_H-M 'F -4 3 m'
_symmetry_Int_Tables_number 216
_symmetry_space_group_name_Hall 'F -4 2 3'
_cell_length_a 11.0755
_cell_length_b 11.0755
_cell_length_c 11.0755
_cell_angle_alpha 90.00
_cell_angle_beta 90.00
_cell_angle_gamma 90.00
loop_
_atom_site_label
_atom_site_type_symbol
_atom_site_fract_x
_atom_site_fract_y
_atom_site_fract_z
_atom_site_occupancy
Ba1 Ba 0.0000 0.0000 0.0000 1
Sr1 Sr 0.1243 0.1243 0.3757 1
Ac1 Ac 0.2500 0.2500 0.7500 1
```


# 2
Below is Ba4Sr2Ac after structural relaxation, with properties calculated at the PBE level.

Computed properties:
- Crystal system: trigonal
- Spin magnetization: 0.0 μB per formula unit
- DFT total energy: -44.6 eV per cell
- Energy of formation: 0.042 eV per atom

Geometry as CIF:
```
data_Ba4Sr2Ac
_chemical_formula_sum 'Ba12 Sr6 Ac3'
_symmetry_space_group_name_H-M 'R -3 m'
_symmetry_Int_Tables_number 166
_symmetry_space_group_name_Hall '-R 3 2"'
_cell_length_a 4.2949
_cell_length_b 4.2949
_cell_length_c 74.7221
_cell_angle_alpha 90.00
_cell_angle_beta 90.00
_cell_angle_gamma 120.00
loop_
_atom_site_label
_atom_site_type_symbol
_atom_site_fract_x
_atom_site_fract_y
_atom_site_fract_z
_atom_site_occupancy
Ba1 Ba 0.0000 0.0000 0.1211 1
Ba2 Ba 0.0000 0.0000 0.3085 1
Sr1 Sr 0.0000 0.0000 0.4060 1
Ac1 Ac 0.0000 0.0000 0.5000 1
```


# 3
Below is Ba2SrAc after structural relaxation, with properties calculated at the PBE level.

Computed properties:
- Crystal system: trigonal
- Spin magnetization: 0.0 μB per formula unit
- DFT total energy: -28.2 eV per cell
- Energy of formation: 0.058 eV per atom

Geometry as CIF:
```
data_Ba2SrAc
_chemical_formula_sum 'Ba6 Sr3 Ac3'
_symmetry_space_group_name_H-M 'R 3 m'
_symmetry_Int_Tables_number 160
_symmetry_space_group_name_Hall 'R 3 -2"'
_cell_length_a 4.2507
_cell_length_b 4.2507
_cell_length_c 41.9597
_cell_angle_alpha 90.00
_cell_angle_beta 90.00
_cell_angle_gamma 120.00
loop_
_atom_site_label
_atom_site_type_symbol
_atom_site_fract_x
_atom_site_fract_y
_atom_site_fract_z
_atom_site_occupancy
Ba1 Ba 0.0000 0.0000 0.0000 1
Ba2 Ba 0.0000 0.0000 0.1599 1
Sr1 Sr 0.0000 0.0000 0.5803 1
Ac1 Ac 0.0000 0.0000 0.7465 1
```


# 4
Below is Ba2SrAc after structural relaxation, with properties calculated at the PBE level.

Computed properties:
- Crystal system: cubic
- Spin magnetization: 0.0 μB per formula unit
- DFT total energy: -37.2 eV per cell
- Energy of formation: 0.085 eV per atom

Geometry as CIF:
```
data_Ba2SrAc
_chemical_formula_sum 'Ba8 Sr4 Ac4'
_symmetry_space_group_name_H-M 'F m -3 m'
_symmetry_Int_Tables_number 225
_symmetry_space_group_name_Hall '-F 4 2 3'
_cell_length_a 9.5597
_cell_length_b 9.5597
_cell_length_c 9.5597
_cell_angle_alpha 90.00
_cell_angle_beta 90.00
_cell_angle_gamma 90.00
loop_
_atom_site_label
_atom_site_type_symbol
_atom_site_fract_x
_atom_site_fract_y
_atom_site_fract_z
_atom_site_occupancy
Ba1 Ba 0.2500 0.2500 0.2500 1
Sr1 Sr 0.0000 0.0000 0.0000 1
Ac1 Ac 0.0000 0.0000 0.5000 1
```


# 5
Below is BaSr6Ac after structural relaxation, with properties calculated at the PBE level.

Computed properties:
- Crystal system: tetragonal
- Spin magnetization: 0.0 μB per formula unit
- DFT total energy: -15.8 eV per cell
- Energy of formation: 0.037 eV per atom

Geometry as CIF:
```
data_BaSr6Ac
_chemical_formula_sum 'Ba1 Sr6 Ac1'
_symmetry_space_group_name_H-M 'P 4/m m m'
_symmetry_Int_Tables_number 123
_symmetry_space_group_name_Hall '-P 4 2'
_cell_length_a 6.6361
_cell_length_b 6.6361
_cell_length_c 9.6036
_cell_angle_alpha 90.00
_cell_angle_beta 90.00
_cell_angle_gamma 90.00
loop_
_atom_site_label
_atom_site_type_symbol
_atom_site_fract_x
_atom_site_fract_y
_atom_site_fract_z
_atom_site_occupancy
Ba1 Ba 0.0000 0.0000 0.0000 1
Sr1 Sr 0.0000 0.5000 0.2620 1
Sr2 Sr 0.5000 0.5000 0.0000 1
Sr3 Sr 0.5000 0.5000 0.5000 1
Ac1 Ac 0.0000 0.0000 0.5000 1
```


# 6
Below is Ba4Sr5Ac after structural relaxation, with properties calculated at the PBE level.

Computed properties:
- Crystal system: tetragonal
- Spin magnetization: 0.0 μB per formula unit
- DFT total energy: -19.9 eV per cell
- Energy of formation: 0.033 eV per atom

Geometry as CIF:
```
data_Ba4Sr5Ac
_chemical_formula_sum 'Ba4 Sr5 Ac1'
_symmetry_space_group_name_H-M 'P 4/m m m'
_symmetry_Int_Tables_number 123
_symmetry_space_group_name_Hall '-P 4 2'
_cell_length_a 4.7570
_cell_length_b 4.7570
_cell_length_c 24.9229
_cell_angle_alpha 90.00
_cell_angle_beta 90.00
_cell_angle_gamma 90.00
loop_
_atom_site_label
_atom_site_type_symbol
_atom_site_fract_x
_atom_site_fract_y
_atom_site_fract_z
_atom_site_occupancy
Ba1 Ba 0.0000 0.0000 0.1027 1
Ba2 Ba 0.0000 0.0000 0.3101 1
Sr1 Sr 0.5000 0.5000 0.0000 1
Sr2 Sr 0.5000 0.5000 0.2057 1
Sr3 Sr 0.5000 0.5000 0.4104 1
Ac1 Ac 0.0000 0.0000 0.5000 1
```


# 7
Below is Ba2Sr6Ac after structural relaxation, with properties calculated at the PBE level.

Computed properties:
- Crystal system: hexagonal
- Spin magnetization: 1.0 μB per formula unit
- DFT total energy: -17.5 eV per cell
- Energy of formation: 0.057 eV per atom

Geometry as CIF:
```
data_Ba2Sr6Ac
_chemical_formula_sum 'Ba2 Sr6 Ac1'
_symmetry_space_group_name_H-M 'P -6 m 2'
_symmetry_Int_Tables_number 187
_symmetry_space_group_name_Hall 'P -6 2'
_cell_length_a 4.2290
_cell_length_b 4.2290
_cell_length_c 32.0852
_cell_angle_alpha 90.00
_cell_angle_beta 90.00
_cell_angle_gamma 120.00
loop_
_atom_site_label
_atom_site_type_symbol
_atom_site_fract_x
_atom_site_fract_y
_atom_site_fract_z
_atom_site_occupancy
Ba1 Ba 0.0000 0.0000 0.1735 1
Sr1 Sr 0.0000 0.0000 0.3968 1
Sr2 Sr 0.6667 0.3333 0.0616 1
Sr3 Sr 0.6667 0.3333 0.2869 1
Ac1 Ac 0.6667 0.3333 0.5000 1
```


# 8
Below is BaSr5Ac after structural relaxation, with properties calculated at the PBE level.

Computed properties:
- Crystal system: monoclinic
- Spin magnetization: 0.0 μB per formula unit
- DFT total energy: -54.3 eV per cell
- Energy of formation: 0.125 eV per atom

Geometry as CIF:
```
data_BaSr5Ac
_chemical_formula_sum 'Ba4 Sr20 Ac4'
_symmetry_space_group_name_H-M 'C 1 2/c 1'
_symmetry_Int_Tables_number 15
_symmetry_space_group_name_Hall '-C 2yc'
_cell_length_a 9.5197
_cell_length_b 11.4331
_cell_length_c 14.7095
_cell_angle_alpha 90.00
_cell_angle_beta 106.20
_cell_angle_gamma 90.00
loop_
_atom_site_label
_atom_site_type_symbol
_atom_site_fract_x
_atom_site_fract_y
_atom_site_fract_z
_atom_site_occupancy
Ba1 Ba 0.0000 0.2031 0.2500 1
Sr1 Sr 0.0000 0.1610 0.7500 1
Sr2 Sr 0.1036 0.4694 0.6441 1
Sr3 Sr 0.1761 0.0974 0.5480 1
Ac1 Ac 0.2500 0.2500 0.0000 1
```